No. 1
VASP calculation (PBE) on InTcRu after structural relaxation.

abc: 5.160 5.160 5.160
angles: 147.22 138.49 53.87
Atoms (fractional coordinates):
1 In 0.000 0.000 0.000
2 Tc 0.316 0.316 0.000
3 Ru 0.681 0.681 0.000

E_tot: -7.2556 eV/atom
Distance to the lowest polymorph of the same formula: 45 kJ/mol of formula units
Crystal system: orthorhombic
Symmetry: Imm2 (44)



No. 2
VASP calculation (PBE) on InTc2Ru after structural relaxation.

abc: 2.807 2.807 9.069
angles: 90.00 90.00 116.01
Atoms (fractional coordinates):
1 In 0.000 0.000 0.000
2 Tc 0.000 0.000 0.497
3 Tc 0.500 0.500 0.732
4 Ru 0.500 0.500 0.258

E_tot: -7.7565 eV/atom
Crystal system: orthorhombic
Symmetry: Cmm2 (35)



Across the entries above, density of states at the Fermi level takes the values 2.9; 4.4 states/eV/cell, respectively.
Across the entries above, M_tot takes the values 0.000; 0.041 μB per formula unit, respectively.